(1)
The following is a PBE calculation of a geometry-optimized K3Pu2ZrO9 structure, from Alexandria.

Output
space-group type = P-3m1
raw formation energy = -2598 meV per atom
calculated total energy = -0.608 Ry/atom
total magnetic moment = 0.3333 μB/atom

Cell lengths 5.9802, 5.9802, 7.3378 Å; angles 90.00, 90.00, 120.00 degrees
Positions (direct):
O 0.1675 0.3350 0.3318
O 0.0000 0.5000 0.0000
O 0.3350 0.1675 0.6682
O 0.8325 0.6650 0.6682
O 0.5000 0.0000 0.0000
O 0.1675 0.8325 0.3318
O 0.8325 0.1675 0.6682
O 0.6650 0.8325 0.3318
O 0.5000 0.5000 0.0000
Pu 0.6667 0.3333 0.8300
Pu 0.3333 0.6667 0.1700
K 0.3333 0.6667 0.6627
K 0.0000 0.0000 0.0000
K 0.6667 0.3333 0.3373
Zr 0.0000 0.0000 0.5000

---

(2)
The following is a PBE calculation of a geometry-optimized KPuZrO6 structure, from Alexandria.

Output
space-group type = P-31c
raw formation energy = -2565 meV per atom
calculated total energy = -0.627 Ry/atom
total magnetic moment = 0.1111 μB/atom

Cell lengths 5.6444, 5.6444, 11.6321 Å; angles 90.00, 90.00, 120.00 degrees
Positions (direct):
Zr 0.3333 0.6667 0.2500
Zr 0.6667 0.3333 0.7500
Pu 0.3333 0.6667 0.7500
Pu 0.6667 0.3333 0.2500
K 0.0000 0.0000 0.0000
K 0.0000 0.0000 0.5000
O 0.0147 0.3881 0.6561
O 0.3735 0.9853 0.6561
O 0.6265 0.0147 0.3439
O 0.6119 0.6265 0.6561
O 0.3735 0.3881 0.8439
O 0.6119 0.9853 0.8439
O 0.9853 0.3735 0.1561
O 0.9853 0.6119 0.3439
O 0.0147 0.6265 0.8439
O 0.6265 0.6119 0.1561
O 0.3881 0.0147 0.1561
O 0.3881 0.3735 0.3439

---

(3)
The following is a PBE calculation of a geometry-optimized KPuZr2O8 structure, from Alexandria.

Output
space-group type = P2/m
raw formation energy = -2606 meV per atom
calculated total energy = -0.634 Ry/atom
total magnetic moment = 0.0825 μB/atom

Cell lengths 5.0790, 5.0710, 6.8858 Å; angles 89.97, 89.97, 87.55 degrees
Positions (direct):
O 0.7161 0.7176 0.0002
O 0.2069 0.7913 0.7997
O 0.7932 0.2088 0.7997
O 0.2839 0.2824 0.9998
O 0.6670 0.6705 0.4999
O 0.3330 0.3295 0.5001
O 0.7931 0.2087 0.2003
O 0.2068 0.7912 0.2003
Pu 0.0000 0.0000 0.0000
Zr 0.4998 0.4998 0.7336
Zr 0.5002 0.5002 0.2664
K 0.0000 0.0000 0.5000

---

(4)
The following is a PBE calculation of a geometry-optimized K2Rb2O structure, from Alexandria.

Output
space-group type = P4/mbm
excess energy over the best structure of this formula in the dataset = 304 meV per atom
raw formation energy = -288 meV per atom
calculated total energy = -0.155 Ry/atom
total magnetic moment = 0.0000 μB/atom

Cell lengths 7.8801, 7.8801, 8.2429 Å; angles 90.00, 90.00, 90.00 degrees
Positions (direct):
Rb 0.2913 0.7913 0.0000
Rb 0.2087 0.2913 0.0000
Rb 0.7087 0.2087 0.0000
Rb 0.7913 0.7087 0.0000
O 0.5000 0.5000 0.0000
O 0.0000 0.0000 0.0000
K 0.1937 0.6937 0.5000
K 0.6937 0.8063 0.5000
K 0.3063 0.1937 0.5000
K 0.8063 0.3063 0.5000

---

(5)
The following is a PBE calculation of a geometry-optimized KRb4O structure, from Alexandria.

Output
space-group type = I4/m
excess energy over the best structure of this formula in the dataset = 0 meV per atom
raw formation energy = -492 meV per atom
calculated total energy = -0.158 Ry/atom
total magnetic moment = 0.0000 μB/atom

Cell lengths 5.5259, 8.4700, 8.4700 Å; angles 83.89, 70.96, 70.96 degrees
Positions (direct):
Rb 0.1857 0.8000 0.7137
Rb 0.9857 0.7137 0.2000
Rb 0.8994 0.2863 0.8000
Rb 0.6994 0.2000 0.2863
K 0.4427 0.0000 0.0000
O 0.9421 0.0000 0.0000

---

(6)
The following is a PBE calculation of a geometry-optimized K2Rb4O structure, from Alexandria.

Output
space-group type = P2/m
excess energy over the best structure of this formula in the dataset = 0 meV per atom
raw formation energy = -393 meV per atom
calculated total energy = -0.145 Ry/atom
total magnetic moment = 0.0000 μB/atom

Cell lengths 4.3735, 8.5298, 12.5255 Å; angles 114.18, 90.00, 90.00 degrees
Positions (direct):
O 0.0000 0.0715 0.0000
K 0.5000 0.3384 0.5310
K 0.5000 0.8046 0.4691
Rb 0.0000 0.2362 0.8514
Rb 0.0000 0.9067 0.1487
Rb 0.5000 0.8580 0.8725
Rb 0.5000 0.2849 0.1276

---

Repeat the fourth record exactly.
The following is a PBE calculation of a geometry-optimized K2Rb2O structure, from Alexandria.

Output
space-group type = P4/mbm
excess energy over the best structure of this formula in the dataset = 304 meV per atom
raw formation energy = -288 meV per atom
calculated total energy = -0.155 Ry/atom
total magnetic moment = 0.0000 μB/atom

Cell lengths 7.8801, 7.8801, 8.2429 Å; angles 90.00, 90.00, 90.00 degrees
Positions (direct):
Rb 0.2913 0.7913 0.0000
Rb 0.2087 0.2913 0.0000
Rb 0.7087 0.2087 0.0000
Rb 0.7913 0.7087 0.0000
O 0.5000 0.5000 0.0000
O 0.0000 0.0000 0.0000
K 0.1937 0.6937 0.5000
K 0.6937 0.8063 0.5000
K 0.3063 0.1937 0.5000
K 0.8063 0.3063 0.5000

---

Copy entry 3 word for word.
The following is a PBE calculation of a geometry-optimized KPuZr2O8 structure, from Alexandria.

Output
space-group type = P2/m
raw formation energy = -2606 meV per atom
calculated total energy = -0.634 Ry/atom
total magnetic moment = 0.0825 μB/atom

Cell lengths 5.0790, 5.0710, 6.8858 Å; angles 89.97, 89.97, 87.55 degrees
Positions (direct):
O 0.7161 0.7176 0.0002
O 0.2069 0.7913 0.7997
O 0.7932 0.2088 0.7997
O 0.2839 0.2824 0.9998
O 0.6670 0.6705 0.4999
O 0.3330 0.3295 0.5001
O 0.7931 0.2087 0.2003
O 0.2068 0.7912 0.2003
Pu 0.0000 0.0000 0.0000
Zr 0.4998 0.4998 0.7336
Zr 0.5002 0.5002 0.2664
K 0.0000 0.0000 0.5000

---

- Number 2 is which compound?
  KPuZrO6